[1]
Mg2VO5, relaxed, DFT GGA+U; V = 11.7 Å³ per atom; density = 3.18 g cm⁻³; E_tot = -6.449 eV per atom
1.0
3.891 0.000 0.000
-1.945 4.982 0.000
0.000 0.000 9.688
Mg V O
4 2 10
Direct
0.851 0.702 0.431
0.851 0.702 0.069
0.149 0.298 0.569
0.149 0.298 0.931
0.806 0.613 0.750
0.194 0.387 0.250
0.955 0.910 0.865
0.955 0.910 0.635
0.298 0.596 0.410
0.298 0.596 0.090
0.731 0.462 0.250
0.269 0.538 0.750
0.702 0.404 0.590
0.702 0.404 0.910
0.045 0.090 0.135
0.045 0.090 0.365

=====

[2]
Mg4VO5, relaxed, DFT GGA+U; V = 9.9 Å³ per atom; density = 3.83 g cm⁻³; E_tot = -6.354 eV per atom
1.0
-1.753 3.545 1.708
-3.150 -0.917 4.102
2.863 2.192 3.820
Mg V O
4 1 5
Direct
0.400 0.402 0.801
0.802 0.801 0.598
0.200 0.199 0.402
0.602 0.598 0.199
0.001 0.000 0.000
0.897 0.410 0.798
0.307 0.798 0.590
0.695 0.202 0.410
0.105 0.590 0.202
0.501 0.000 0.000